Record 1
SbSe2S PBE optimized geometry; calculated density = 4.42 Mg/m³; energy above the most stable polymorph in this dataset = 0.00 kcal/mol of atoms
1.0
-8.332 -0.758 0.530
-7.428 2.255 3.163
-7.757 3.064 -0.845
Se Sb S
2 1 1
Cartesian
-21.231 4.118 2.571
-2.286 0.443 0.277
-11.758 2.281 1.424
0.000 0.000 0.000

---

Record 2
Sb3Se2S PBE optimized geometry; calculated total energy = -3.8160 eV/atom; calculated density = 4.55 Mg/m³
1.0
-4.414 3.009 1.907
-0.762 -5.596 7.063
5.291 7.297 0.735
Sb Se S
6 4 2
Cartesian
-0.270 6.245 6.121
-3.366 3.167 3.232
0.322 4.133 2.386
1.720 2.744 7.235
-2.271 1.983 8.212
-1.679 -0.128 4.477
1.415 4.374 5.042
0.786 -1.086 3.763
-0.232 0.865 6.764
2.433 2.423 2.041
-1.150 1.965 2.903
3.352 1.323 5.902

---

Record 3
Sb3Se3S PBE optimized geometry; calculated density = 4.90 Mg/m³; energy above the most stable polymorph in this dataset = 0.83 kcal/mol of atoms
1.0
-1.454 1.632 5.616
4.875 -6.922 3.273
3.918 8.080 -1.334
Se Sb S
6 6 2
Cartesian
2.594 -3.426 6.517
4.746 6.216 1.039
5.783 1.539 2.666
6.241 0.085 6.441
1.098 2.704 1.115
1.556 1.251 4.889
3.897 6.712 3.908
2.497 0.192 2.207
0.702 3.595 3.987
4.843 2.598 5.348
6.637 -0.806 3.569
3.442 -3.923 3.647
4.194 -1.510 3.141
3.145 4.300 4.415

---

Record 4
SbSe2S6 PBE optimized geometry; calculated total energy = -3.8660 eV/atom; calculated density = 3.35 Mg/m³
1.0
-3.283 0.435 -2.054
4.382 1.228 -6.585
-1.527 -7.816 0.938
S Se Sb
6 2 1
Cartesian
-0.831 -4.187 -5.668
-2.580 -3.370 -3.104
-1.063 -1.050 -5.037
2.151 -2.784 -4.597
0.403 -1.966 -2.033
0.635 -5.103 -2.664
-2.303 -6.283 -1.195
1.875 0.130 -6.506
0.000 0.000 0.000

---

Record 5
Sb2SeS2 PBE optimized geometry; calculated total energy = -4.0967 eV/atom; calculated density = 5.08 Mg/m³
1.0
8.225 0.000 0.000
0.000 8.225 0.000
0.000 0.000 3.733
S Sb Se
4 4 2
Cartesian
1.131 5.244 1.866
2.981 1.131 1.866
7.094 2.981 1.866
5.244 7.094 1.866
6.441 5.897 0.000
5.897 1.785 0.000
1.785 2.328 0.000
2.328 6.441 0.000
0.000 0.000 0.000
4.113 4.113 0.000

---

Record 6
Sb3SeS2 PBE optimized geometry; calculated total energy = -4.0288 eV/atom; calculated density = 4.32 Mg/m³
1.0
3.565 0.000 0.000
0.000 9.777 0.000
-1.783 -4.888 5.605
S Sb Se
2 3 1
Cartesian
1.783 1.477 3.720
0.000 6.366 1.885
0.000 -0.028 2.869
1.783 4.860 2.736
0.000 1.156 0.000
1.783 3.209 0.000

---

Record 7
Sb4SeS5 PBE optimized geometry; calculated total energy = -4.2000 eV/atom; calculated density = 3.85 Mg/m³
1.0
7.309 0.000 0.000
0.000 9.079 0.000
0.000 0.000 9.435
S Sb Se
10 8 2
Cartesian
1.734 1.951 1.953
5.575 6.490 6.670
5.575 2.589 6.670
6.090 4.540 0.000
5.575 6.490 2.764
1.219 0.000 4.717
1.734 7.129 1.953
1.734 1.951 7.482
1.734 7.129 7.482
5.575 2.589 2.764
3.244 6.897 0.000
7.151 4.540 2.248
0.158 0.000 6.965
0.158 0.000 2.469
3.244 2.182 0.000
4.065 2.358 4.717
7.151 4.540 7.187
4.065 6.721 4.717
2.637 4.540 4.717
4.672 0.000 0.000

---

Record 8
SbSe2S2 PBE optimized geometry; calculated density = 4.07 Mg/m³; energy above the most stable polymorph in this dataset = 0.00 kcal/mol of atoms
1.0
3.911 0.033 0.417
1.983 3.371 0.417
1.262 0.732 10.880
S Sb Se
2 1 2
Cartesian
4.333 2.504 5.466
2.823 1.632 6.247
0.000 0.000 0.000
1.783 1.030 1.947
5.373 3.106 9.767

---

Record 9
Sb4Se3S3 PBE optimized geometry; calculated total energy = -4.1817 eV/atom; calculated density = 4.94 Mg/m³
1.0
3.947 0.000 0.000
0.000 11.415 0.000
0.000 0.000 12.249
Sb S Se
8 6 6
Cartesian
1.974 4.688 11.861
1.974 2.364 7.874
0.000 10.481 6.583
1.974 9.051 1.749
0.000 0.934 0.458
1.974 6.727 5.737
0.000 3.299 4.353
0.000 8.116 10.478
0.000 10.761 2.463
0.000 0.654 8.588
0.000 7.998 4.659
1.974 9.195 7.666
0.000 3.417 10.784
1.974 2.220 1.541
1.974 10.099 11.596
1.974 6.283 9.675
1.974 5.132 3.550
0.000 7.079 0.642
1.974 1.316 5.471
0.000 4.336 6.766

---

Record 10
Sb5Se5S2 PBE optimized geometry; calculated total energy = -4.0479 eV/atom; calculated density = 5.23 Mg/m³
1.0
0.120 -2.804 3.113
3.343 -5.751 -2.486
12.150 0.869 3.135
Sb S Se
5 2 5
Cartesian
7.485 -0.960 1.668
3.744 -4.641 1.319
0.000 0.000 0.000
8.128 -6.725 2.094
11.869 -3.044 2.443
10.749 -3.652 4.761
4.863 -4.033 -0.998
10.814 -6.614 2.091
14.052 -5.281 3.167
1.561 -2.404 0.596
4.799 -1.071 1.672
7.806 -3.843 1.881

---

Record 11
Sb4Se3S2 PBE optimized geometry; calculated total energy = -4.0408 eV/atom; calculated density = 3.97 Mg/m³
1.0
-3.178 -6.215 1.126
1.429 -0.457 9.939
-8.049 3.479 4.914
Sb Se S
8 6 4
Cartesian
-9.485 -3.082 5.984
-5.401 -2.393 10.182
-4.397 -0.799 5.798
-4.622 -4.473 7.084
-0.972 -2.850 9.092
-0.314 -0.110 9.996
-5.176 1.280 8.895
-8.826 -0.342 6.887
0.000 -0.403 1.906
-3.209 -2.838 1.610
-3.222 -0.409 8.176
-9.798 -2.789 14.074
-6.589 -0.354 14.370
-6.576 -2.783 7.803
-3.611 -3.072 5.282
-7.136 -3.494 11.599
-2.662 0.302 4.380
-6.187 -0.121 10.697

---

Record 12
SbSeS3 PBE optimized geometry; calculated density = 4.53 Mg/m³; energy above the most stable polymorph in this dataset = 0.00 kcal/mol of atoms
1.0
4.773 0.000 0.000
0.000 4.773 0.000
0.000 0.000 4.773
Se Sb S
1 1 3
Cartesian
0.000 0.000 0.000
2.386 2.386 2.386
2.386 0.000 0.000
0.000 2.386 0.000
0.000 0.000 2.386